Crystalline PaVClO4 at its relaxed geometry. Source: Alexandria via LeMat-Bulk, functional PBE+U.

abc: 6.2281 6.2281 6.8668
angles: 76.33 76.33 67.08
Fractional coordinates of all 14 atoms:
V: 0.6318 0.6318 0.7126
V: 0.3682 0.3682 0.2874
O: 0.5451 0.5451 0.2087
O: 0.2838 0.2838 0.5476
O: 0.1060 0.4899 0.1462
O: 0.4549 0.4549 0.7913
O: 0.4899 0.1060 0.1462
O: 0.8940 0.5101 0.8538
O: 0.5101 0.8940 0.8538
O: 0.7162 0.7162 0.4524
Pa: 0.7638 0.7638 0.1197
Pa: 0.2362 0.2362 0.8803
Cl: 0.0118 0.0118 0.2283
Cl: 0.9882 0.9882 0.7717

Summary:
Its space group is C2/m (12). For the spin magnetization, the calculation gives 2.00 Bohr magnetons per cell. Its total energy is -8.0876 eV per atom.